# 1
Below is crystalline P3PdC at its relaxed geometry, with properties calculated at the GGA-PBE level.

Unit cell a=4.6317 b=4.6317 c=4.6317 alpha=90.00 beta=90.00 gamma=90.00
Fractional coordinates of all 5 atoms:
C 0.5000 0.5000 0.5000
P 0.5000 0.0000 0.0000
P 0.0000 0.0000 0.5000
P 0.0000 0.5000 0.0000
Pd 0.0000 0.0000 0.0000

Symmetry = Pm-3m (221)
Uncorrected energy = -3.99 eV per atom
Polymorph energy (0 for the lowest one) = 1206.9 meV per atom
D(E_F) = 3.8 states/eV per cell
Crystal system = cubic
ΔH_f (0 K) = 10.7 eV per formula unit
V = 99 Å³/f.u.

# 2
Below is crystalline Pm2PuSi4Pt3 at its relaxed geometry, with properties calculated at the GGA-PBE level.

Unit cell a=4.2492 b=4.2492 c=10.9316 alpha=90.00 beta=90.00 gamma=90.00
Site moments in Bohr magnetons follow the coordinates.
Fractional coordinates of all 10 atoms:
Pu 0.5000 0.5000 0.5000  5.03
Pt 0.5000 0.0000 0.8908  0.01
Pt 0.0000 0.0000 0.5000  -0.06
Pt 0.0000 0.5000 0.1092  0.01
Pm 0.0000 0.5000 0.7689  0.02
Pm 0.5000 0.0000 0.2311  0.02
Si 0.5000 0.5000 0.0000  0.00
Si 0.0000 0.5000 0.3296  -0.02
Si 0.5000 0.0000 0.6704  -0.02
Si 0.0000 0.0000 0.0000  0.00

Symmetry = P-4m2 (115)
Uncorrected energy = -7.22 eV per atom
D(E_F) = 13.5 states/eV per cell
Crystal system = tetragonal
V = 197 Å³/f.u.
Energy relative to the elements, uncorrected = -0.852 eV per atom

# 3
Below is crystalline DyErCS at its relaxed geometry, with properties calculated at the GGA-PBE level.

Unit cell a=3.6972 b=3.6972 c=6.6721 alpha=73.92 beta=73.92 gamma=60.00
Fractional coordinates of all 4 atoms:
C 0.1935 0.1935 0.4195
S 0.6952 0.6952 0.9145
Er 0.4567 0.4567 0.6298
Dy 0.9310 0.9310 0.2069

Symmetry = R3m (160)
Uncorrected energy = -6.93 eV per atom
D(E_F) = 0.5 states/eV per cell
Crystal system = trigonal
V = 75 Å³/f.u.
Energy relative to the elements, uncorrected = -1.300 eV per atom

# 4
Below is crystalline CsPH at its relaxed geometry, with properties calculated at the GGA-PBE level.

Unit cell a=5.9813 b=6.0059 c=6.3486 alpha=103.76 beta=114.30 gamma=108.21
Fractional coordinates of all 6 atoms:
P 0.1108 0.4444 0.9439
P 0.1677 0.1562 0.7115
H 0.8856 0.9528 0.5192
H 0.0946 0.3526 0.1333
Cs 0.6190 0.7844 0.8219
Cs 0.4985 0.1600 0.3267

Symmetry = P1 (1)
Uncorrected energy = -3.52 eV per atom
Polymorph energy (0 for the lowest one) = 34.3 meV per atom
D(E_F) = 0.0 states/eV per cell
Crystal system = triclinic
V = 89 Å³/f.u.

# 5
Below is crystalline SnHgI3 at its relaxed geometry, with properties calculated at the GGA-PBE level.

Unit cell a=4.5173 b=8.7840 c=12.1799 alpha=103.01 beta=90.00 gamma=104.90
Fractional coordinates of all 10 atoms:
I 0.3661 0.7323 0.5005
I 0.0679 0.1358 0.7891
I 0.9321 0.8642 0.2109
I 0.1733 0.3466 0.1596
I 0.8267 0.6534 0.8404
I 0.6339 0.2677 0.4995
Sn 0.5915 0.1830 0.9799
Sn 0.4085 0.8170 0.0201
Hg 0.0978 0.1957 0.3501
Hg 0.9022 0.8043 0.6499

Symmetry = C2/m (12)
Uncorrected energy = -2.04 eV per atom
Polymorph energy (0 for the lowest one) = 0.0 meV per atom
D(E_F) = 0.2 states/eV per cell
Crystal system = monoclinic
V = 227 Å³/f.u.
Energy relative to the elements, uncorrected = -0.252 eV per atom

# 6
Below is crystalline CeHfSeN2 at its relaxed geometry, with properties calculated at the GGA-PBE level.

Unit cell a=4.0618 b=6.8646 c=7.6184 alpha=115.31 beta=90.00 gamma=90.00
Fractional coordinates of all 10 atoms:
N 0.2500 0.4667 0.6032
N 0.7500 0.5333 0.3968
N 0.2500 0.4921 0.1295
N 0.7500 0.5079 0.8705
Ce 0.2500 0.6784 0.9427
Ce 0.7500 0.3216 0.0573
Hf 0.2500 0.6405 0.4388
Hf 0.7500 0.3595 0.5612
Se 0.7500 0.9856 0.2435
Se 0.2500 0.0144 0.7565

Symmetry = P2_1/m (11)
Uncorrected energy = -8.84 eV per atom
Crystal system = monoclinic
V = 96 Å³/f.u.
Energy relative to the elements, uncorrected = -1.635 eV per atom